# 1
CoB | PBE | optimized geometry

The value obtained for the energy relative to the elements is 716.2 meV/atom.

The space group is I-43m (No. 217) and the conventional cell measures 6.027, 6.027 and 6.027 Å, with angles of 90.00, 90.00 and 90.00 degrees. The asymmetric unit holds Co at (0.153, 0.153, 0.847) and B at (0.165, 0.165, 0.165).

=====

# 2
KCdOs2 | PBE | optimized geometry

The value obtained for the energy relative to the elements is 663.1 meV/atom.

The space group is Cm (No. 8) and the conventional cell measures 8.355, 2.772 and 8.067 Å, with angles of 90.00, 94.17 and 90.00 degrees. The asymmetric unit holds K at (0.000, 0.000, 0.000), Cd at (0.230, 0.000, 0.656), Os at (0.003, 0.500, 0.421) and Os at (0.260, 0.500, 0.312).

=====

# 3
BaLiAgSn2 | PBE | optimized geometry

The value obtained for the energy relative to the elements is -458.2 meV/atom.

The space group is I-4m2 (No. 119) and the conventional cell measures 4.850, 4.850 and 11.689 Å, with angles of 90.00, 90.00 and 90.00 degrees. The asymmetric unit holds Ba at (0.000, 0.000, 0.000), Li at (0.000, 0.500, 0.250), Ag at (0.000, 0.500, 0.750) and Sn at (0.000, 0.000, 0.377).

=====

# 4
AcLaSbS | PBE | optimized geometry

As for the raw formation energy: -1.328 eV per atom.

The space group is P4/nmm (No. 129, origin choice 2) and the conventional cell measures 5.074, 5.074 and 10.639 Å, with angles of 90.00, 90.00 and 90.00 degrees. The asymmetric unit holds Ac at (0.250, 0.250, 0.138), La at (0.250, 0.750, 0.500), Sb at (0.250, 0.250, 0.691) and S at (0.250, 0.750, 0.000).

=====

# 5
NiAs2SeCl | PBE | optimized geometry

As for the raw formation energy: 1.364 eV per atom.

The space group is P4/mmm (No. 123) and the conventional cell measures 4.776, 4.776 and 5.093 Å, with angles of 90.00, 90.00 and 90.00 degrees. The asymmetric unit holds Ni at (0.000, 0.000, 0.000), As at (0.000, 0.500, 0.500), Se at (0.500, 0.500, 0.000) and Cl at (0.500, 0.500, 0.500).

=====

# 6
NaNpNb4N8 | PBE | optimized geometry

As for the raw formation energy: -0.676 eV per atom.

The space group is R3m (No. 160, hexagonal axes) and the conventional cell measures 6.4702, 6.4702 and 15.2438 Å, with angles of 90.00, 90.00 and 120.00 degrees. The asymmetric unit holds Na at (0.0000, 0.0000, 0.0000), Np at (0.0000, 0.0000, 0.4281), Nb at (0.0000, 0.0000, 0.6367), Nb at (0.1753, 0.3506, 0.8446), N at (0.0000, 0.0000, 0.2588), N at (0.0000, 0.0000, 0.7698), N at (0.0239, 0.5119, 0.2417) and N at (0.0443, 0.5221, 0.7703).

=====

# 7
PmCuAu2 | PBE | optimized geometry

The value obtained for the energy relative to the elements is -573.0 meV/atom.

The space group is Pnma (No. 62) and the conventional cell measures 7.691, 7.554 and 5.487 Å, with angles of 90.00, 90.00 and 90.00 degrees. The asymmetric unit holds Pm at (0.039, 0.250, 0.122), Cu at (0.115, 0.750, 0.374) and Au at (0.182, 0.056, 0.593).

=====

# 8
Pr2HfAl4Pd3 | PBE | optimized geometry

The value obtained for the energy relative to the elements is -669.1 meV/atom.

The space group is P-4m2 (No. 115) and the conventional cell measures 4.266, 4.266 and 11.322 Å, with angles of 90.00, 90.00 and 90.00 degrees. The asymmetric unit holds Pr at (0.000, 0.500, 0.242), Hf at (0.000, 0.000, 0.500), Al at (0.000, 0.000, 0.000), Al at (0.000, 0.500, 0.656), Al at (0.500, 0.500, 0.000), Pd at (0.000, 0.500, 0.877) and Pd at (0.500, 0.500, 0.500).

=====

# 9
NdThZnCo | PBE | optimized geometry

The value obtained for the energy relative to the elements is -80.5 meV/atom.

The space group is F-43m (No. 216) and the conventional cell measures 7.145, 7.145 and 7.145 Å, with angles of 90.00, 90.00 and 90.00 degrees. The asymmetric unit holds Nd at (0.000, 0.000, 0.000), Th at (0.000, 0.000, 0.500), Zn at (0.250, 0.250, 0.250) and Co at (0.250, 0.250, 0.750).

=====

# 10
SrY2Co | PBE | optimized geometry

The value obtained for the energy relative to the elements is 95.5 meV/atom.

The space group is Immm (No. 71) and the conventional cell measures 3.666, 5.959 and 10.701 Å, with angles of 90.00, 90.00 and 90.00 degrees. The asymmetric unit holds Sr at (0.000, 0.000, 0.000), Y at (0.000, 0.500, 0.180) and Co at (0.000, 0.000, 0.500).

=====

# 11
Pm2Er3Hg7 | PBE | optimized geometry

The value obtained for the energy relative to the elements is -285.8 meV/atom.

The space group is Cmmm (No. 65) and the conventional cell measures 5.242, 23.264 and 5.385 Å, with angles of 90.00, 90.00 and 90.00 degrees. The asymmetric unit holds Pm at (0.000, 0.145, 0.000), Er at (0.000, 0.339, 0.500), Er at (0.000, 0.500, 0.500), Hg at (0.000, 0.000, 0.000), Hg at (0.000, 0.079, 0.500), Hg at (0.000, 0.279, 0.000) and Hg at (0.000, 0.427, 0.000).

=====

# 12
MgMoPd | PBE | optimized geometry

The value obtained for the energy relative to the elements is -54.8 meV/atom.

The space group is P1 (No. 1) and the conventional cell measures 2.807, 5.075 and 7.031 Å, with angles of 89.81, 80.70 and 87.64 degrees. The asymmetric unit holds Mg at (0.000, 0.000, 0.000), Mg at (0.126, 0.655, 0.666), Mo at (0.228, 0.257, 0.337), Mo at (0.492, 0.489, 0.044), Pd at (0.603, 0.168, 0.685) and Pd at (0.766, 0.777, 0.343).

=====

Values for total magnetic moment, Bohr magnetons per cell, ordered as above
0.0 0.0 0.0 1.4 1.1 9.7 0.0 0.0 1.7 0.0 0.0 0.0
Values for uncorrected energy, eV per atom, ordered as above
-6.18 -5.45 -3.40 -5.65 -2.72 -9.33 -4.42 -5.68 -5.22 -5.33 -2.39 -5.93